The following is a PBE calculation of a relaxed structure of KBaRuO6, from the Alexandria database.

a = 4.808 Å, b = 5.722 Å, c = 6.038 Å
α = 63.20°, β = 87.84°, γ = 86.04°
Sites, in units of the cell vectors:
K (0.000, 0.000, 0.000)
Ba (0.587, 0.644, 0.632)
Ru (0.227, 0.262, 0.374)
O (0.130, 0.549, 0.435)
O (0.213, 0.561, 0.009)
O (0.460, 0.137, 0.644)
O (0.468, 0.122, 0.215)
O (0.946, 0.453, 0.050)
O (0.982, 0.021, 0.516)

Calculated values
The density of states at the Fermi level comes out at 0.8 states/eV/f.u. The value obtained for the total energy is -5.9419 eV per atom. For the energy relative to the elements, uncorrected, the calculation gives -1270 meV/atom.